Entry 1:
HfBe2Cu2: optimized geometry, PBE-GGA.

```
data_HfBe2Cu2
_chemical_formula_sum 'Hf2 Be4 Cu4'
_cell_length_a 6.892
_cell_length_b 6.892
_cell_length_c 2.596
_cell_angle_alpha 90.00
_cell_angle_beta 90.00
_cell_angle_gamma 90.00
_space_group_name_H-M_alt 'P 4/m b m'
_space_group_IT_number 127
_space_group_name_Hall '-P 4 2ab'
loop_
_atom_site_label
_atom_site_fract_x
_atom_site_fract_y
_atom_site_fract_z
Hf1 0.000 0.000 0.000
Be1 0.118 0.382 0.000
Cu1 0.170 0.670 0.500
```

Computed properties:
- VASP energy: -5.1281 eV per atom
- Energy of formation from the pure elements: -0.008 eV per atom
- Size of the total moment: 0.0 μB per cell

---

Entry 2:
Hg3HOs: optimized geometry, PBE-GGA.

```
data_Hg3HOs
_chemical_formula_sum 'Hg3 H1 Os1'
_cell_length_a 5.299
_cell_length_b 5.299
_cell_length_c 5.299
_cell_angle_alpha 90.00
_cell_angle_beta 90.00
_cell_angle_gamma 90.00
_space_group_name_H-M_alt 'P m -3 m'
_space_group_IT_number 221
_space_group_name_Hall '-P 4 2 3'
loop_
_atom_site_label
_atom_site_fract_x
_atom_site_fract_y
_atom_site_fract_z
Hg1 0.000 0.000 0.500
H1 0.500 0.500 0.500
Os1 0.000 0.000 0.000
```

Computed properties:
- VASP energy: -1.9789 eV per atom
- Size of the total moment: 2.1 μB per cell